DFT (PBE) results for a geometry-optimized PmTlAg2Cl6 structure.

```
PmTlAg2Cl6
1.0
-6.1062 3.7979 0.0915
-5.9701 -2.8512 2.8162
-2.4311 2.7446 6.8108
Pm Tl Ag Cl
1 1 2 6
Direct
0.3231 0.3230 0.0307
0.8045 0.8048 0.5858
0.5190 0.5189 0.4427
0.0035 0.0041 0.9888
0.5895 0.2563 0.2333
0.2566 0.9206 0.2334
0.9206 0.5890 0.2340
0.3484 0.7311 0.7558
0.7310 0.1651 0.7553
0.1653 0.3489 0.7553
```

Calculated values
raw total energy: -3.669 eV/atom


DFT (PBE) results for a geometry-optimized PmTlAgCl5 structure.

```
PmTlAgCl5
1.0
7.7218 -0.1766 -0.0505
-2.4230 7.3339 -0.0505
-2.2438 -3.0308 9.6024
Pm Tl Ag Cl
2 2 2 10
Direct
0.0000 0.0000 0.5000
0.0000 0.0000 0.0000
0.3509 0.6491 0.2500
0.6491 0.3509 0.7500
0.6887 0.3113 0.2500
0.3113 0.6887 0.7500
0.0774 0.9226 0.2500
0.9226 0.0774 0.7500
0.9175 0.3086 0.1015
0.0825 0.6914 0.8985
0.6914 0.0825 0.3985
0.3086 0.9175 0.6015
0.7399 0.6302 0.4361
0.2601 0.3698 0.5639
0.3698 0.2601 0.0639
0.6302 0.7399 0.9361
```

Calculated values
raw total energy: -3.907 eV/atom


DFT (PBE) results for a geometry-optimized Pr4Ag2Cl structure.

```
Pr4Ag2Cl
1.0
3.9950 0.0000 1.2094
1.6690 6.5163 1.6898
-0.1803 0.3774 7.7988
Pr Ag Cl
4 2 1
Direct
0.0951 0.2007 0.6090
0.9049 0.7993 0.3910
0.3300 0.2584 0.0816
0.6700 0.7416 0.9184
0.3802 0.5610 0.6787
0.6198 0.4390 0.3213
0.0000 0.0000 0.0000
```

Calculated values
energy above the most stable polymorph in this dataset: 0.000 eV per atom


DFT (PBE) results for a geometry-optimized PrAgCl structure.

```
PrAgCl
1.0
-2.8854 0.0183 2.4952
4.0219 -4.0893 4.6808
4.6238 9.9823 2.3577
Cl Ag Pr
4 4 4
Direct
0.0845 0.4631 0.1689
0.4634 0.1879 0.9269
0.5366 0.8121 0.0731
0.9155 0.5369 0.8311
0.2675 0.6463 0.5350
0.7989 0.9509 0.5979
0.7325 0.3537 0.4650
0.2011 0.0491 0.4021
0.3387 0.2877 0.6774
0.5951 0.1668 0.1903
0.6613 0.7123 0.3226
0.4049 0.8332 0.8097
```

Calculated values
raw total energy: -4.188 eV/atom


DFT (PBE) results for a geometry-optimized PrAg2Cl6 structure.

```
PrAg2Cl6
1.0
6.5191 -0.0382 1.9880
1.6971 8.3183 2.5020
-0.2828 -0.6487 8.8223
Pr Ag Cl
2 4 12
Direct
0.2500 0.1443 0.8557
0.7500 0.8557 0.1443
0.2945 0.6147 0.7170
0.2055 0.2830 0.3853
0.7055 0.3853 0.2830
0.7945 0.7170 0.6147
0.4875 0.7731 0.4910
0.0125 0.5090 0.2269
0.5125 0.2269 0.5090
0.9875 0.4910 0.7731
0.9634 0.8683 0.3704
0.5366 0.6296 0.1317
0.0366 0.1317 0.6296
0.4634 0.3704 0.8683
0.1436 0.8306 0.9322
0.3564 0.0678 0.1694
0.8564 0.1694 0.0678
0.6436 0.9322 0.8306
```

Calculated values
raw total energy: -3.535 eV/atom


DFT (PBE) results for a geometry-optimized Pr2Ag5Cl12 structure.

```
Pr2Ag5Cl12
1.0
8.1830 0.4591 0.9596
-4.0497 6.3168 -2.6656
1.2375 0.3410 10.7699
Pr Ag Cl
2 5 12
Direct
0.7275 0.9613 0.0146
0.2725 0.0387 0.9854
0.2745 0.5571 0.5277
0.1786 0.5378 0.2562
0.0000 0.0000 0.5000
0.8214 0.4622 0.7438
0.7255 0.4429 0.4723
0.9385 0.8951 0.1380
0.1690 0.6573 0.7983
0.5796 0.5780 0.8418
0.1396 0.7621 0.4930
0.6703 0.7372 0.5006
0.6295 0.1195 0.8653
0.3705 0.8805 0.1347
0.8604 0.2379 0.5070
0.3297 0.2628 0.4994
0.8310 0.3427 0.2017
0.4204 0.4220 0.1582
0.0615 0.1049 0.8620
```

Calculated values
raw total energy: -3.579 eV/atom


DFT (PBE) results for a geometry-optimized Pr3Ag5Cl12 structure.

```
Pr3Ag5Cl12
1.0
14.0690 0.0000 0.0000
-4.6897 13.2643 0.0000
-4.6897 -6.6322 11.4873
Pr Ag Cl
12 20 48
Direct
0.7500 0.3750 0.1250
0.8750 0.7500 0.1250
0.3750 0.7500 0.6250
0.2500 0.1250 0.3750
0.8750 0.1250 0.2500
0.3750 0.6250 0.2500
0.6250 0.3750 0.7500
0.1250 0.8750 0.7500
0.7500 0.8750 0.6250
0.6250 0.2500 0.3750
0.1250 0.2500 0.8750
0.2500 0.6250 0.8750
0.1250 0.3750 0.2500
0.0000 0.5000 0.0000
0.0000 0.0000 0.0000
0.3750 0.2500 0.1250
0.5000 0.0000 0.5000
0.5000 0.5000 0.0000
0.1250 0.7500 0.3750
0.7500 0.1250 0.8750
0.7500 0.6250 0.3750
0.3750 0.1250 0.7500
0.6250 0.8750 0.2500
0.5000 0.5000 0.5000
0.5000 0.0000 0.0000
0.0000 0.0000 0.5000
0.2500 0.3750 0.6250
0.2500 0.8750 0.1250
0.0000 0.5000 0.5000
0.8750 0.2500 0.6250
0.6250 0.7500 0.8750
0.8750 0.6250 0.7500
0.7239 0.1328 0.0487
0.3248 0.5487 0.4159
0.9513 0.3672 0.2761
0.5487 0.2239 0.1328
0.5911 0.7239 0.6752
0.9513 0.5841 0.1752
0.3248 0.7761 0.4089
0.0841 0.9089 0.1328
0.5841 0.9513 0.6752
0.7239 0.5911 0.1752
0.7761 0.4513 0.3672
0.8248 0.9159 0.0487
0.1328 0.7239 0.5487
0.3672 0.4159 0.0911
0.0911 0.9159 0.3672
0.4089 0.1328 0.5841
0.0911 0.1752 0.2239
0.4513 0.6752 0.0841
0.8248 0.9089 0.2761
0.1328 0.4089 0.0841
0.3672 0.9513 0.7761
0.5841 0.6328 0.4089
0.9159 0.8248 0.5487
0.7761 0.3248 0.9089
0.4159 0.3672 0.5911
0.0841 0.1752 0.4513
0.2239 0.6752 0.0911
0.1752 0.0911 0.7239
0.6328 0.0487 0.2239
0.8672 0.5911 0.9159
0.5487 0.3248 0.9159
0.5911 0.8672 0.4159
0.9089 0.8248 0.7761
0.9089 0.0841 0.6328
0.8672 0.2761 0.4513
0.1752 0.0841 0.9513
0.6328 0.5841 0.9089
0.4159 0.0487 0.3248
0.2761 0.4089 0.8248
0.2239 0.5487 0.6328
0.9159 0.0911 0.8672
0.6752 0.2239 0.5911
0.4513 0.7761 0.8672
0.0487 0.4159 0.8248
0.4089 0.2761 0.3248
0.0487 0.6328 0.7239
0.6752 0.4513 0.5841
0.2761 0.8672 0.9513
```

Calculated values
raw total energy: -3.726 eV/atom


DFT (PBE) results for a geometry-optimized PrAgCl4 structure.

```
PrAgCl4
1.0
4.1871 0.0000 0.0000
0.0000 7.2658 0.1618
0.0000 0.1695 12.8292
Pr Ag Cl
2 2 8
Direct
0.0000 0.0000 0.5000
0.5000 0.5000 0.0000
0.5000 0.5000 0.5000
0.0000 0.0000 0.0000
0.5000 0.1336 0.3740
0.0000 0.3664 0.1260
0.5000 0.8664 0.6260
0.0000 0.6336 0.8740
0.9995 0.6719 0.3993
0.4995 0.8281 0.1007
0.0005 0.3281 0.6007
0.5005 0.1719 0.8993
```

Calculated values
energy above the most stable polymorph in this dataset: 0.000 eV per atom


DFT (PBE) results for a geometry-optimized Pr4Ag2Cl structure.

```
Pr4Ag2Cl
1.0
-2.4304 0.0799 -4.8465
3.7394 -3.4188 -1.9316
-4.8871 -4.1055 5.4164
Pr Ag Cl
4 2 1
Direct
0.8054 0.8054 0.6107
0.1946 0.1946 0.3893
0.0000 0.5000 0.0000
0.5000 0.0000 0.0000
0.6088 0.6088 0.2175
0.3912 0.3912 0.7825
0.0000 0.0000 0.0000
```

Calculated values
energy above the most stable polymorph in this dataset: 0.174 eV per atom


DFT (PBE) results for a geometry-optimized PrAgCl4 structure.

```
PrAgCl4
1.0
4.5850 -0.1634 1.2344
0.0128 4.9131 0.6031
0.0207 -0.9153 7.3160
Pr Ag Cl
1 1 4
Direct
0.5352 0.4965 0.9990
0.8668 0.9994 0.4305
0.4345 0.9980 0.2326
0.6255 0.9960 0.7792
0.1213 0.4956 0.7882
0.9244 0.4982 0.2593
```

Calculated values
energy above the most stable polymorph in this dataset: 0.005 eV per atom


DFT (PBE) results for a geometry-optimized Rb3PrAg2Cl9 structure.

```
Rb3PrAg2Cl9
1.0
-2.5263 1.9336 -6.8424
-1.3595 -6.9099 2.7101
-8.0788 3.1033 3.8597
Rb Pr Ag Cl
3 1 2 9
Direct
0.3333 0.6667 0.7105
0.0000 0.0000 0.0000
0.6667 0.3333 0.2895
0.0000 0.0000 0.5000
0.3333 0.6667 0.1519
0.6667 0.3333 0.8481
0.8314 0.1686 0.6721
0.8314 0.6629 0.6721
0.3371 0.1686 0.6721
0.6629 0.8314 0.3279
0.1686 0.3371 0.3279
0.1686 0.8314 0.3279
0.5000 0.0000 0.0000
0.0000 0.5000 0.0000
0.5000 0.5000 0.0000
```

Calculated values
raw total energy: -3.528 eV/atom


DFT (PBE) results for a geometry-optimized RbPrAg2Cl8 structure.

```
RbPrAg2Cl8
1.0
6.8882 0.0000 0.0000
0.0000 6.8882 0.0000
-3.4441 -3.4441 7.4628
Rb Pr Ag Cl
1 1 2 8
Direct
0.7500 0.2500 0.5000
0.0000 0.0000 0.0000
0.5000 0.5000 0.0000
0.2500 0.7500 0.5000
0.7255 0.8480 0.1177
0.3922 0.2697 0.1177
0.6275 0.7141 0.6824
0.0549 0.9683 0.6824
0.0317 0.3725 0.3176
0.2859 0.9451 0.3176
0.1520 0.6078 0.8823
0.7303 0.2745 0.8823
```

Calculated values
raw total energy: -3.362 eV/atom


DFT (PBE) results for a geometry-optimized RbPrAgCl6 structure.

```
RbPrAgCl6
1.0
-3.1026 3.0390 -5.5783
-3.9400 -2.4770 5.3217
0.7895 12.9029 6.5902
Rb Pr Ag Cl
2 2 2 12
Direct
0.0000 0.0000 0.0000
0.0000 0.0000 0.5000
0.3333 0.6667 0.2500
0.6667 0.3333 0.7500
0.6667 0.3333 0.2500
0.3333 0.6667 0.7500
0.6300 0.6166 0.1420
0.9867 0.3700 0.1420
0.3700 0.9867 0.6420
0.0133 0.6300 0.8580
0.3834 0.3700 0.3580
0.9867 0.6166 0.3580
0.6166 0.9867 0.8580
0.6300 0.0133 0.3580
0.0133 0.3834 0.6420
0.3834 0.0133 0.1420
0.6166 0.6300 0.6420
0.3700 0.3834 0.8580
```

Calculated values
raw total energy: -3.721 eV/atom


DFT (PBE) results for a geometry-optimized RbPrAgCl5 structure.

```
RbPrAgCl5
1.0
7.8207 -0.1373 -0.0257
-2.4143 7.4400 -0.0257
-2.2630 -3.0567 9.7304
Rb Pr Ag Cl
2 2 2 10
Direct
0.3459 0.6541 0.2500
0.6541 0.3459 0.7500
0.0000 0.0000 0.5000
0.0000 0.0000 0.0000
0.6860 0.3140 0.2500
0.3140 0.6860 0.7500
0.0789 0.9211 0.2500
0.9211 0.0789 0.7500
0.9117 0.3069 0.1010
0.0883 0.6931 0.8990
0.6931 0.0883 0.3990
0.3069 0.9117 0.6010
0.7453 0.6304 0.4349
0.2547 0.3696 0.5651
0.3696 0.2547 0.0651
0.6304 0.7453 0.9349
```

Calculated values
raw total energy: -3.979 eV/atom


DFT (PBE) results for a geometry-optimized RbPrAg2Cl6 structure.

```
RbPrAg2Cl6
1.0
7.4899 -0.0003 -0.0063
-3.7449 6.4835 -0.0014
-3.7471 -2.1638 6.5956
Rb Pr Ag Cl
1 1 2 6
Direct
0.0022 0.5008 0.4885
0.0065 0.0028 0.9953
0.5937 0.7963 0.3745
0.5002 0.2501 0.7369
0.5569 0.9485 0.7071
0.4470 0.0453 0.1964
0.8097 0.7630 0.1956
0.1665 0.4013 0.1970
0.7723 0.6076 0.7064
0.1105 0.1620 0.7049
```

Calculated values
raw total energy: -3.722 eV/atom


DFT (PBE) results for a geometry-optimized Pr6AgRh2Cl3 structure.

```
Pr6AgRh2Cl3
1.0
-1.1563 -0.5008 -7.1776
5.0961 -4.1217 3.1854
-6.4378 -3.8881 2.5256
Pr Ag Rh Cl
6 1 2 3
Direct
0.9296 0.5739 0.7884
0.7137 0.7137 0.2122
0.0704 0.4261 0.2116
0.5739 0.9296 0.7884
0.2863 0.2863 0.7878
0.4261 0.0704 0.2116
0.0000 0.0000 0.0000
0.3335 0.6665 0.0000
0.6665 0.3335 0.0000
0.1714 0.8286 0.5000
0.8286 0.1714 0.5000
0.5000 0.5000 0.5000
```

Calculated values
raw total energy: -5.336 eV/atom


DFT (PBE) results for a geometry-optimized PrAgSnCl6 structure.

```
PrAgSnCl6
1.0
-3.8082 -5.3279 -0.8698
5.3539 -3.8639 0.2273
-1.3330 -1.1054 12.6074
Pr Ag Sn Cl
2 2 2 12
Direct
0.5000 0.5000 0.8335
0.0000 0.0000 0.3335
0.5000 0.5000 0.1661
0.0000 0.0000 0.6661
0.5000 0.5000 0.4997
0.0000 0.0000 0.9997
0.1943 0.8057 0.5001
0.8057 0.1943 0.5001
0.3057 0.3057 0.0001
0.6943 0.6943 0.0001
0.1976 0.8024 0.1711
0.8024 0.1976 0.1711
0.3024 0.3024 0.6711
0.6976 0.6976 0.6711
0.7987 0.2013 0.8292
0.2013 0.7987 0.8292
0.7013 0.7013 0.3292
0.2987 0.2987 0.3292
```

Calculated values
raw total energy: -3.945 eV/atom